Ce4Si3Pd | the Alexandria database | GGA-PBE | optimized geometry; volume = 23.4 Å³/atom; raw formation energy = -644 meV per atom
1.0
4.007 0.000 0.000
0.000 4.253 0.000
0.000 0.000 10.988
Ce Si Pd
4 3 1
Direct
0.000 0.000 0.000
0.000 0.500 0.495
0.500 0.000 0.710
0.500 0.500 0.210
0.000 0.000 0.285
0.500 0.000 0.424
0.500 0.500 0.928
0.000 0.500 0.783